## Cu2IrCl (PBE)

Data for crystalline Cu2IrCl at its relaxed geometry.

## Properties
VASP energy: -4.25 eV per atom
formation energy without anion corrections: 472.5 meV/atom

```
Cu2IrCl
1.0
3.050 0.000 0.000
0.000 3.050 0.000
0.000 0.000 6.469
Cu Ir Cl
2 1 1
direct
0.000 0.000 0.000
0.500 0.500 0.214
0.000 0.000 0.415
0.500 0.500 0.764
```


## Cu2IrCl (PBE)

Data for crystalline Cu2IrCl at its relaxed geometry.

## Properties
VASP energy: -4.44 eV per atom
formation energy without anion corrections: 286.5 meV/atom

```
Cu2IrCl
1.0
1.445 -2.505 0.000
1.445 2.505 0.000
0.000 0.000 8.061
Cu Ir Cl
2 1 1
direct
0.000 0.000 0.241
0.000 0.000 0.759
0.500 0.500 0.500
0.500 0.500 0.000
```


## Cu2IrCl (PBE)

Data for crystalline Cu2IrCl at its relaxed geometry.

## Properties
VASP energy: -4.40 eV per atom
formation energy without anion corrections: 328.4 meV/atom

```
Cu2IrCl
1.0
4.165 -1.434 0.000
4.165 1.434 0.000
-0.900 0.000 6.049
Cu Ir Cl
2 1 1
direct
0.000 0.000 0.000
0.744 0.744 0.183
0.260 0.260 0.843
0.673 0.673 0.527
```


## Cu2IrCl (PBE)

Data for crystalline Cu2IrCl at its relaxed geometry.

## Properties
VASP energy: -4.35 eV per atom
formation energy without anion corrections: 379.5 meV/atom

```
Cu2IrCl
1.0
1.366 0.789 9.650
-1.366 0.789 9.650
0.000 -1.578 9.650
Cu Ir Cl
2 1 1
direct
0.000 0.000 0.000
0.265 0.265 0.265
0.525 0.525 0.525
0.734 0.734 0.734
```


no.,energy above the most stable polymorph in this dataset (eV/atom)
1,0.259
2,0.073
3,0.115
4,0.166